Record 1
DFT (PBE) results for a relaxed FeSiP2 crystal.

Unit cell a=3.809 b=3.809 c=6.805 alpha=90.00 beta=90.00 gamma=90.00
Space group I-4m2 (No. 119)
One atom of each set of equivalent atoms:
Fe1 0.000 0.000 0.000
Si1 0.000 0.500 0.250
P1 0.000 0.000 0.500
P2 0.000 0.500 0.750

VASP energy	-5.757	eV/atom
E_form (uncorrected)	1.68	eV/f.u.
total magnetic moment	0.0	μB/cell

=====

Record 2
DFT (PBE) results for a relaxed Tl2RhPb crystal.

Unit cell a=3.338 b=3.338 c=8.977 alpha=90.00 beta=90.00 gamma=90.00
Space group P4mm (No. 99)
One atom of each set of equivalent atoms:
Tl1 0.000 0.000 0.000
Tl2 0.500 0.500 0.297
Rh1 0.500 0.500 0.805
Pb1 0.000 0.000 0.616

VASP energy	-3.908	eV/atom
ΔE_f	0.040	eV/atom
total magnetic moment	0.0	μB/cell

=====

Record 3
DFT (PBE) results for a relaxed BaMgTc crystal.

Unit cell a=3.639 b=3.639 c=12.021 alpha=90.00 beta=90.00 gamma=90.00
Space group I4mm (No. 107)
One atom of each set of equivalent atoms:
Ba1 0.000 0.000 0.000
Mg1 0.000 0.000 0.272
Tc1 0.000 0.000 0.689

VASP energy	-3.949	eV/atom
ΔE_f	0.679	eV/atom
total magnetic moment	2.3	μB/cell

=====

Record 4
DFT (PBE) results for a relaxed Li2AgF crystal.

Unit cell a=2.8948 b=2.8948 c=21.2011 alpha=90.00 beta=90.00 gamma=120.00
Space group R-3m (No. 166, hexagonal axes)
One atom of each set of equivalent atoms:
Li1 0.0000 0.0000 0.2225
Ag1 0.0000 0.0000 0.0000
F1 0.0000 0.0000 0.5000

VASP energy	-3.631	eV/atom
E_form (uncorrected)	-5.97	eV/f.u.
total magnetic moment	0.0	μB/cell

=====

Record 5
DFT (PBE) results for a relaxed Tb2ScSe3 crystal.

Unit cell a=4.030 b=5.701 c=12.067 alpha=90.00 beta=90.00 gamma=90.00
Space group Immm (No. 71)
One atom of each set of equivalent atoms:
Tb1 0.000 0.000 0.172
Sc1 0.000 0.000 0.500
Se1 0.000 0.500 0.157
Se2 0.000 0.500 0.500

VASP energy	-6.038	eV/atom
E_form (uncorrected)	-10.18	eV/f.u.
total magnetic moment	0.0	μB/cell

=====

Record 6
DFT (PBE) results for a relaxed AgGeSe2 crystal.

Unit cell a=3.829 b=4.649 c=6.550 alpha=87.38 beta=89.95 gamma=65.71
Space group P1 (No. 1)
One atom of each set of equivalent atoms:
Ag1 0.000 0.000 0.000
Ge1 0.313 0.372 0.478
Se1 0.002 0.993 0.580
Se2 0.303 0.394 0.102

VASP energy	-3.728	eV/atom
E_form (uncorrected)	-0.47	eV/f.u.
total magnetic moment	0.0	μB/cell